PrTm2Th, optimized geometry, DFT PBE; DFT formation energy = 27 meV per atom; total energy = -5.26 eV/atom; ΔE to the lowest computed polymorph = 17 meV per atom; spin magnetization = 0.0 Bohr magnetons per cell
1.0
1.2958 -0.8712 -3.2582
3.9075 -5.4820 1.0096
-10.2657 -5.6916 3.4428
Pr Tm Th
2 4 2
Direct
0.5875 0.3201 0.7776 Pr
0.9255 0.7847 0.8247 Pr
0.9105 0.0320 0.5638 Tm
0.6024 0.0729 0.0386 Tm
0.9361 0.5231 0.0778 Tm
0.5768 0.5818 0.5246 Tm
0.9295 0.2799 0.3257 Th
0.5832 0.8251 0.2767 Th